First-principles (PBE) data for Li5CeMg4 after structural relaxation, as listed in the Alexandria database.

Properties
Total magnetization in μB/f.u.: 1.6
Final energy in eV per cell: -21.71

a b c (Å): 3.4168 3.4168 18.0875
angles (deg): 90.00 90.00 90.00
With the nearest neighbours (Å) after each atom.
Space group P4/mmm (No. 123)
Unique sites:
Li 0.0000 0.0000 0.0000 (multiplicity 1)  8 Mg 2.95
Li 0.0000 0.0000 0.1862 (multiplicity 2)  8 Mg 2.94-2.98
Li 0.0000 0.0000 0.3725 (multiplicity 2)  4 Mg 2.92
Ce 0.5000 0.5000 0.5000 (multiplicity 1)  8 Li 3.34, 4 Ce 3.42
Mg 0.5000 0.5000 0.0935 (multiplicity 2)  8 Li 2.94-2.95
Mg 0.5000 0.5000 0.2822 (multiplicity 2)  8 Li 2.92-2.98